Entry 1:
Here is a relaxed structure of LuZrCo from Alexandria. Energies are from PBE.

The structure belongs to space group I4mm (No. 107); the cell edges are 3.258, 3.258 and 11.370 Å and the angles 90.00°, 90.00° and 90.00°. The inequivalent atoms are Lu at (0.000, 0.000, 0.000), Zr at (0.000, 0.000, 0.718) and Co at (0.000, 0.000, 0.345).


Entry 2:
Here is a relaxed structure of LiLa4Al2 from Alexandria. Energies are from PBE.

The structure belongs to space group R-3m (No. 166, hexagonal axes); the cell edges are 5.3557, 5.3557 and 25.6915 Å and the angles 90.00°, 90.00° and 120.00°. The inequivalent atoms are Li at (0.0000, 0.0000, 0.0000), La at (0.0000, 0.0000, 0.1314), La at (0.0000, 0.0000, 0.3845) and Al at (0.0000, 0.0000, 0.2569).


Number 1: formation energy -121 meV/atom, electronic total energy -6.8458 eV per atom, volume 20.11 Å³ per atom. Number 2: formation energy -158 meV/atom, electronic total energy -4.3159 eV per atom, volume 30.39 Å³ per atom.